A plane-wave DFT calculation with GGA+U was carried out for crystalline SrCo2Ru2O7 at its relaxed geometry.

Summary:
Its space-group type is No. 5. The uncorrected energy is -6.63 eV per atom.

a = 8.9489 Å, b = 8.9489 Å, c = 4.0846 Å
α = 103.11°, β = 103.11°, γ = 26.32°
Closest atoms and distances in Å follow each position.
Positions (direct):
1 Sr 0.0000 0.0000 0.0000  12 O 2.85-2.89
2 Co 0.2447 0.2563 0.7519  6 O 2.06-2.24
3 Co 0.7437 0.7553 0.2481  6 O 2.06-2.24
4 Ru 0.3869 0.3861 0.3881  6 O 1.92-2.05
5 Ru 0.6139 0.6131 0.6119  6 O 1.92-2.05
6 O 0.1186 0.1181 0.6237  2 Ru 2.04, 1 Co 2.24
7 O 0.2604 0.2722 0.2687  1 Ru 2.04, 4 Co 2.06
8 O 0.3834 0.3790 0.8808  2 Ru 2.04-2.05, 1 Co 2.22
9 O 0.4998 0.5002 0.5000  2 Ru 1.92
10 O 0.6210 0.6166 0.1192  2 Ru 2.04-2.05, 1 Co 2.22
11 O 0.7278 0.7396 0.7313  1 Ru 2.04, 4 Co 2.06
12 O 0.8819 0.8814 0.3763  2 Ru 2.04, 1 Co 2.24